Entry 1:
Computed, not measured: a relaxed KAcTe2O6 crystal at the GGA-PBE level of DFT. Values from VASP.

Results
**Formation energy from raw total energies**: -1.817 eV per atom
**SG**: No. 148
**Calculated volume**: 20.6 Å³ per atom
**Electronic total energy**: -5.9409 eV/atom

Cell and atoms, written as Quantum ESPRESSO input:
```
&SYSTEM
  ibrav = 0, nat = 10, ntyp = 4
/
ATOMIC_SPECIES
K 39.10 K.upf
Ac 227.00 Ac.upf
Te 127.60 Te.upf
O 16.00 O.upf
ATOMIC_POSITIONS crystal
K 0.0000 0.0000 0.0000
Ac 0.5000 0.5000 0.5000
Te 0.7136 0.7136 0.8591
O 0.9447 0.5014 0.2679
O 0.0553 0.4986 0.7321
O 0.4986 0.7140 0.7321
O 0.2860 0.9447 0.2679
O 0.7140 0.0553 0.7321
Te 0.2864 0.2864 0.1409
O 0.5014 0.2860 0.2679
CELL_PARAMETERS angstrom
6.1065 0.0000 0.0000
3.0533 5.2884 0.0000
3.0533 1.7628 6.3818
```

***

Entry 2:
Computed, not measured: a relaxed CaLaNb3 crystal at the GGA-PBE level of DFT. Values from VASP.

Results
**Polymorph energy (0 for the lowest one)**: 0 meV/atom
**SG**: No. 221
**Calculated volume**: 25.3 Å³ per atom
**Electronic total energy**: -5.9928 eV/atom
**E_form**: 1435 meV/atom

Cell and atoms, written as Quantum ESPRESSO input:
```
&SYSTEM
  ibrav = 0, nat = 5, ntyp = 3
/
ATOMIC_SPECIES
Nb 92.91 Nb.upf
La 138.91 La.upf
Ca 40.08 Ca.upf
ATOMIC_POSITIONS crystal
Nb 0.0000 0.5000 0.0000
Nb 0.5000 0.0000 0.0000
Nb 0.0000 0.0000 0.5000
La 0.0000 0.0000 0.0000
Ca 0.5000 0.5000 0.5000
CELL_PARAMETERS angstrom
5.0179 0.0000 0.0000
0.0000 5.0179 0.0000
0.0000 0.0000 5.0179
```

***

Entry 3:
Computed, not measured: a relaxed NpUPt crystal at the GGA-PBE level of DFT. Values from VASP.

Results
**Polymorph energy (0 for the lowest one)**: 173 meV/atom
**SG**: No. 139
**Calculated volume**: 19.7 Å³ per atom
**Electronic total energy**: -10.1945 eV/atom
**E_form**: -105 meV/atom

Cell and atoms, written as Quantum ESPRESSO input:
```
&SYSTEM
  ibrav = 0, nat = 6, ntyp = 3
/
ATOMIC_SPECIES
Np 237.00 Np.upf
U 238.03 U.upf
Pt 195.08 Pt.upf
ATOMIC_POSITIONS crystal
Np 0.2944 0.2944 0.5887
Np 0.7056 0.7056 0.4113
U 0.8569 0.8569 0.7138
U 0.1431 0.1431 0.2862
Pt 0.5625 0.5625 0.1249
Pt 0.4375 0.4375 0.8751
CELL_PARAMETERS angstrom
-0.4984 2.5307 2.1608
-3.1353 -1.0892 0.5524
5.2816 -6.7235 6.4727
```